Entry 1:
# K2TaSiN4

An optimized crystal structure of K2TaSiN4 (PBE-GGA, Alexandria).

## Properties
Uncorrected formation energy = -0.617 eV/atom
Mass density = 4.27 g cm⁻³
SG = No. 59
Magnetic moment = 0.8 μB/f.u.

Lattice parameters (Å, degrees): 5.9960 6.9201 6.4269 90.00 90.00 90.00
Last column: nearest neighbours and their distance in Å.
Atoms (fractional coordinates):
K (0.5000, 0.3051, 0.2494)  7 N 2.80-3.11
K (0.5000, 0.3051, 0.7506)  7 N 2.80-3.11
K (0.0000, 0.6949, 0.7494)  7 N 2.80-3.11
K (0.0000, 0.6949, 0.2506)  7 N 2.80-3.11
Ta (0.0000, 0.1413, 0.5000)  4 N 1.92-1.99
Ta (0.5000, 0.8587, 0.0000)  4 N 1.92-1.99
Si (0.5000, 0.8383, 0.5000)  4 N 1.74-1.76
Si (0.0000, 0.1617, 0.0000)  4 N 1.74-1.76
N (0.2388, 0.0184, 0.0000)  1 Si 1.74, 1 Ta 1.92
N (0.7388, 0.9816, 0.5000)  1 Si 1.74, 1 Ta 1.92
N (0.2613, 0.9817, 0.5000)  1 Si 1.74, 1 Ta 1.92
N (0.7613, 0.0183, 0.0000)  1 Si 1.74, 1 Ta 1.92
N (0.5000, 0.7089, 0.7365)  1 Si 1.76
N (0.0000, 0.2911, 0.2365)  1 Si 1.76
N (0.0000, 0.2911, 0.7635)  1 Si 1.76
N (0.5000, 0.7089, 0.2635)  1 Si 1.76

***

Entry 2:
# TeAsS2

An optimized crystal structure of TeAsS2 (PBE-GGA, Alexandria).

## Properties
Polymorph energy (0 for the lowest one) = 0.000 eV per atom
Uncorrected formation energy = -0.041 eV/atom
Mass density = 3.01 g cm⁻³
SG = No. 1
Magnetic moment = 0.0 μB/f.u.

Lattice parameters (Å, degrees): 6.1222 5.2550 9.5158 73.95 91.25 91.21
Last column: nearest neighbours and their distance in Å.
Atoms (fractional coordinates):
Te (0.1683, 0.5552, 0.5693)  1 S 2.41
Te (0.7326, 0.5088, 0.6466)  1 S 2.41
As (0.1387, 0.8256, 0.1663)  3 S 2.29-2.31
As (0.7625, 0.3762, 0.0492)  3 S 2.29-2.31
S (0.7881, 0.6605, 0.1954)  2 As 2.29-2.31
S (0.7438, 0.7220, 0.8410)  1 As 2.29, 1 Te 2.41
S (0.1607, 0.9626, 0.3751)  1 As 2.29, 1 Te 2.41
S (0.1132, 0.2558, 0.0211)  2 As 2.29-2.31

***

Entry 3:
# MgSnO

An optimized crystal structure of MgSnO (PBE-GGA, Alexandria).

## Properties
Polymorph energy (0 for the lowest one) = 0.021 eV per atom
Uncorrected formation energy = -1.403 eV/atom
Mass density = 5.10 g cm⁻³
SG = No. 123
Magnetic moment = 0.0 μB/f.u.

Lattice parameters (Å, degrees): 2.9563 2.9563 5.9290 90.00 90.00 90.00
Last column: nearest neighbours and their distance in Å.
Atoms (fractional coordinates):
Mg (0.5000, 0.5000, 0.5000)  4 O 2.09
Sn (0.0000, 0.0000, 0.0000)  4 Sn 2.96, 2 O 2.96
O (0.0000, 0.0000, 0.5000)  4 Mg 2.09

***

Entry 4:
# Pa2NbPt

An optimized crystal structure of Pa2NbPt (PBE-GGA, Alexandria).

## Properties
Energy relative to the elements = -0.237 eV per atom
Polymorph energy (0 for the lowest one) = 0.000 eV per atom
Mass density = 14.32 g cm⁻³
SG = No. 225
Magnetic moment = 0.0 μB/f.u.

Lattice parameters (Å, degrees): 4.9727 4.9727 4.9727 60.00 60.00 60.00
Last column: nearest neighbours and their distance in Å.
Atoms (fractional coordinates):
Nb (0.5000, 0.5000, 0.5000)  8 Pa 3.05
Pa (0.2500, 0.2500, 0.2500)  4 Nb 3.05, 4 Pt 3.05
Pa (0.7500, 0.7500, 0.7500)  4 Nb 3.05, 4 Pt 3.05
Pt (0.0000, 0.0000, 0.0000)  8 Pa 3.05